(1)
DFT (GGA-PBE) results for a relaxed structure of SrLaCo2.

Output
Volume   83 Å³ per cell
Total moment   2.261 μB per formula unit
Distance to the lowest polymorph of the same formula   553 meV/atom
DFT formation energy   629 meV/atom
Uncorrected energy   -18.30 eV per formula unit

a = 4.9008 Å, b = 4.9008 Å, c = 4.9008 Å
α = 60.00°, β = 60.00°, γ = 60.00°
With the nearest neighbours (Å) after each atom.
Atoms (fractional coordinates):
La1 0.5000 0.5000 0.5000  4 Co 3.00, 4 Sr 3.00
Co1 0.2500 0.2500 0.2500  4 Co 3.00, 4 La 3.00
Co2 0.0000 0.0000 0.0000  4 Sr 3.00, 4 Co 3.00
Sr1 0.7500 0.7500 0.7500  4 La 3.00, 4 Co 3.00

(2)
DFT (GGA-PBE) results for a relaxed structure of MgNp2Si3Ir4.

Output
Volume   174 Å³ per cell
Total moment   7.235 μB per formula unit
Uncorrected energy   -85.45 eV per formula unit
Formation energy without anion corrections   -0.6259 eV per atom

a = 4.0388 Å, b = 4.0388 Å, c = 10.6614 Å
α = 90.00°, β = 90.00°, γ = 90.00°
With the nearest neighbours (Å) after each atom.
Atoms (fractional coordinates):
Np1 0.5000 0.0000 0.2484  8 Ir 3.04-3.33, 6 Si 3.15-3.36, 2 Mg 3.36
Np2 0.0000 0.5000 0.7516  8 Ir 3.04-3.33, 6 Si 3.15-3.36, 2 Mg 3.36
Mg1 0.5000 0.5000 0.5000  4 Ir 2.61, 4 Si 2.86
Ir1 0.0000 0.5000 0.3453  3 Si 2.37-2.61, 2 Mg 2.61
Ir2 0.5000 0.0000 0.6547  3 Si 2.37-2.61, 2 Mg 2.61
Ir3 0.0000 0.0000 0.0000  4 Si 2.41
Ir4 0.5000 0.5000 0.0000  4 Si 2.41
Si1 0.0000 0.5000 0.1231  5 Ir 2.37-2.41
Si2 0.5000 0.0000 0.8769  5 Ir 2.37-2.41
Si3 0.0000 0.0000 0.5000  4 Ir 2.61, 4 Mg 2.86